(1)
## LiCe2Pu3S6 (GGA-PBE)

Data for a geometry-optimized LiCe2Pu3S6 structure.

a b c (Å): 6.890 6.890 6.872
angles (deg): 99.65 99.65 119.97
Sites, in units of the cell vectors:
Li  0.000  0.000  0.000
Ce  0.334  0.666  0.000
Ce  0.666  0.334  0.000
Pu  0.167  0.833  0.500
Pu  0.833  0.167  0.500
Pu  0.500  0.500  0.500
S  0.916  0.588  0.748
S  0.757  0.757  0.254
S  0.084  0.412  0.252
S  0.588  0.916  0.748
S  0.243  0.243  0.746
S  0.412  0.084  0.252

Output
raw formation energy = -21.6 eV per formula unit
SG = No. 12
total energy = -103.117 eV/f.u.

***

(2)
## LiCe2PuS4 (GGA-PBE)

Data for a geometry-optimized LiCe2PuS4 structure.

a b c (Å): 3.990 6.829 6.919
angles (deg): 70.04 90.00 90.00
Sites, in units of the cell vectors:
Li  0.500  0.500  0.000
Ce  0.000  0.000  0.000
Ce  0.500  0.000  0.500
Pu  0.000  0.500  0.500
S  0.000  0.740  0.758
S  0.000  0.260  0.242
S  0.500  0.740  0.249
S  0.500  0.260  0.751

Output
raw formation energy = -14.4 eV per formula unit
SG = No. 10
total energy = -59.067 eV/f.u.

***

(3)
## LiCe3Pu3S8 (GGA-PBE)

Data for a geometry-optimized LiCe3Pu3S8 structure.

a b c (Å): 7.926 7.926 7.922
angles (deg): 120.02 90.00 120.00
Sites, in units of the cell vectors:
Li  0.000  0.000  0.500
Ce  0.000  0.000  0.000
Ce  0.000  0.500  0.000
Ce  0.500  0.500  0.000
Pu  0.500  0.000  0.500
Pu  0.500  0.500  0.500
Pu  0.000  0.500  0.500
S  0.253  0.507  0.260
S  0.747  0.493  0.740
S  0.756  0.512  0.259
S  0.244  0.488  0.741
S  0.756  0.003  0.259
S  0.244  0.997  0.741
S  0.248  0.003  0.259
S  0.752  0.997  0.741

Output
raw formation energy = -26.9 eV per formula unit
SG = No. 166
total energy = -122.637 eV/f.u.

***

(4)
## LiCePuSc (GGA-PBE)

Data for a geometry-optimized LiCePuSc structure.

a b c (Å): 5.115 5.115 5.115
angles (deg): 60.00 60.00 60.00
Sites, in units of the cell vectors:
Sc  0.500  0.500  0.500
Li  0.750  0.750  0.750
Ce  0.000  0.000  0.000
Pu  0.250  0.250  0.250

Output
SG = No. 216
total energy = -27.612 eV/f.u.
ΔH_f (0 K) = 0.22 eV/atom